Entry 1:
GdYScZn after structural relaxation. Source: the Alexandria database, functional GGA-PBE. Values from VASP.

Values from the calculation:
**VASP energy**: -7.050 eV/atom
**ΔH_f (0 K)**: -0.1 eV per formula unit
**Volume**: 25.421 Å³/atom
**Density**: 5.8 g/cm3
**Space-group type**: F-43m

Cell and atoms, written as Quantum ESPRESSO input:
```
&SYSTEM
  ibrav = 0, nat = 4, ntyp = 4
/
ATOMIC_SPECIES
Zn 65.41 Zn.upf
Y 88.91 Y.upf
Gd 157.25 Gd.upf
Sc 44.96 Sc.upf
ATOMIC_POSITIONS angstrom
Zn 0.000 0.000 0.000
Y 7.859 4.537 3.208
Gd 2.620 1.512 1.069
Sc 5.239 3.025 2.139
CELL_PARAMETERS angstrom
5.239 0.000 0.000
2.620 4.537 0.000
2.620 1.512 4.278
```



Entry 2:
Rb2ReGe2 after structural relaxation. Source: the Alexandria database, functional GGA-PBE. Values from VASP.

Values from the calculation:
**VASP energy**: -3.206 eV/atom
**Energy above the most stable polymorph in this dataset**: 0.236 eV/atom
**ΔH_f (0 K)**: 7.6 eV per formula unit
**Volume**: 31.382 Å³/atom
**Density**: 5.3 g/cm3
**Space-group type**: P4/mbm

Cell and atoms, written as Quantum ESPRESSO input:
```
&SYSTEM
  ibrav = 0, nat = 10, ntyp = 3
/
ATOMIC_SPECIES
Re 186.21 Re.upf
Rb 85.47 Rb.upf
Ge 72.64 Ge.upf
ATOMIC_POSITIONS angstrom
Re 0.000 0.000 0.000
Rb -0.230 -0.827 6.726
Ge 6.071 -4.660 8.457
Ge 5.859 -3.647 3.008
Rb 3.214 -4.298 10.077
Re 2.954 -3.450 5.980
Ge 1.850 -1.156 9.272
Ge 1.638 -0.143 3.823
Rb 6.137 -6.072 5.235
Rb 2.693 -2.602 1.884
CELL_PARAMETERS angstrom
-1.948 0.083 10.439
7.855 -6.983 1.522
1.802 2.096 0.319
```



Entry 3:
ZnCuRh2 after structural relaxation. Source: the Alexandria database, functional GGA-PBE. Values from VASP.

Values from the calculation:
**VASP energy**: -5.133 eV/atom
**ΔH_f (0 K)**: -0.5 eV per formula unit
**Volume**: 13.701 Å³/atom
**Density**: 10.1 g/cm3
**Space-group type**: Cm

Cell and atoms, written as Quantum ESPRESSO input:
```
&SYSTEM
  ibrav = 0, nat = 4, ntyp = 3
/
ATOMIC_SPECIES
Rh 102.91 Rh.upf
Cu 63.55 Cu.upf
Zn 65.41 Zn.upf
ATOMIC_POSITIONS angstrom
Rh 0.048 -2.471 1.005
Cu 0.130 -7.389 3.110
Rh 0.604 -8.849 -0.196
Zn 0.080 -4.947 2.146
CELL_PARAMETERS angstrom
-1.064 -4.517 -0.270
1.672 -4.337 0.043
-0.438 -1.014 4.421
```



Entry 4:
Cd2ReSb after structural relaxation. Source: the Alexandria database, functional GGA-PBE. Values from VASP.

Values from the calculation:
**VASP energy**: -3.743 eV/atom
**Volume**: 20.596 Å³/atom
**Density**: 10.7 g/cm3
**Space-group type**: P4/mmm

Cell and atoms, written as Quantum ESPRESSO input:
```
&SYSTEM
  ibrav = 0, nat = 4, ntyp = 3
/
ATOMIC_SPECIES
Re 186.21 Re.upf
Cd 112.41 Cd.upf
Sb 121.76 Sb.upf
ATOMIC_POSITIONS angstrom
Re 2.593 0.000 1.531
Cd 0.000 0.000 0.000
Cd 2.593 2.593 0.000
Sb 0.000 2.593 1.531
CELL_PARAMETERS angstrom
5.186 0.000 0.000
0.000 5.186 0.000
0.000 0.000 3.063
```



Entry 5:
Hf2ZrRe after structural relaxation. Source: the Alexandria database, functional GGA-PBE. Values from VASP.

Values from the calculation:
**VASP energy**: -10.259 eV/atom
**Energy above the most stable polymorph in this dataset**: 0.137 eV/atom
**ΔH_f (0 K)**: -0.1 eV per formula unit
**Volume**: 19.512 Å³/atom
**Density**: 13.5 g/cm3
**Space-group type**: Fm-3m

Cell and atoms, written as Quantum ESPRESSO input:
```
&SYSTEM
  ibrav = 0, nat = 4, ntyp = 3
/
ATOMIC_SPECIES
Hf 178.49 Hf.upf
Zr 91.22 Zr.upf
Re 186.21 Re.upf
ATOMIC_POSITIONS angstrom
Hf -2.050 -4.615 7.222
Zr 0.000 0.000 0.000
Hf -0.683 -1.538 2.407
Re -1.367 -3.076 4.815
CELL_PARAMETERS angstrom
1.670 -3.050 3.304
-1.536 0.300 4.534
-2.868 -3.403 1.791
```



Entry 6:
BeTl2Os after structural relaxation. Source: the Alexandria database, functional GGA-PBE. Values from VASP.

Values from the calculation:
**VASP energy**: -3.861 eV/atom
**Energy above the most stable polymorph in this dataset**: 0.637 eV/atom
**ΔH_f (0 K)**: 4.2 eV per formula unit
**Volume**: 19.134 Å³/atom
**Density**: 13.2 g/cm3
**Space-group type**: C2/m

Cell and atoms, written as Quantum ESPRESSO input:
```
&SYSTEM
  ibrav = 0, nat = 4, ntyp = 3
/
ATOMIC_SPECIES
Tl 204.38 Tl.upf
Os 190.23 Os.upf
Be 9.01 Be.upf
ATOMIC_POSITIONS angstrom
Tl 0.000 0.000 0.000
Os 1.232 2.457 0.003
Tl 2.464 0.560 1.565
Be -1.278 3.019 1.572
CELL_PARAMETERS angstrom
4.973 -0.001 -0.004
-2.509 4.915 0.010
-0.046 1.122 3.133
```



Entry 7:
HI after structural relaxation. Source: the Alexandria database, functional GGA-PBE. Values from VASP.

Values from the calculation:
**VASP energy**: -2.394 eV/atom
**Volume**: 41.017 Å³/atom
**Density**: 2.6 g/cm3
**Space-group type**: I-43m

Cell and atoms, written as Quantum ESPRESSO input:
```
&SYSTEM
  ibrav = 0, nat = 16, ntyp = 2
/
ATOMIC_SPECIES
H 1.01 H.upf
I 126.90 I.upf
ATOMIC_POSITIONS angstrom
H 1.902 1.902 1.902
I 1.501 7.189 1.501
H 6.247 6.247 6.247
I 7.189 7.189 7.189
H 2.443 6.247 2.443
I 2.844 2.844 2.844
H 6.788 6.788 1.902
H 6.247 2.443 2.443
H 6.788 1.902 6.788
H 2.443 2.443 6.247
I 5.846 5.846 2.844
H 1.902 6.788 6.788
I 1.501 1.501 7.189
I 7.189 1.501 1.501
I 2.844 5.846 5.846
I 5.846 2.844 5.846
CELL_PARAMETERS angstrom
8.690 0.000 0.000
0.000 8.690 0.000
0.000 0.000 8.690
```



Entry 8:
TbHo2Pu3Se6 after structural relaxation. Source: the Alexandria database, functional GGA-PBE. Values from VASP.

Values from the calculation:
**VASP energy**: -8.140 eV/atom
**Volume**: 24.471 Å³/atom
**Density**: 9.6 g/cm3
**Space-group type**: C2/m

Cell and atoms, written as Quantum ESPRESSO input:
```
&SYSTEM
  ibrav = 0, nat = 12, ntyp = 4
/
ATOMIC_SPECIES
Ho 164.93 Ho.upf
Se 78.96 Se.upf
Tb 158.93 Tb.upf
Pu 244.00 Pu.upf
ATOMIC_POSITIONS angstrom
Ho 0.739 -1.149 3.258
Se -0.116 -1.940 0.636
Tb -1.946 0.295 0.545
Pu -2.199 -3.637 1.770
Se 1.594 -0.387 5.897
Se -1.322 -2.776 4.434
Se 1.357 -4.232 7.131
Se 0.388 -1.224 9.694
Pu -0.211 1.926 5.853
Pu 0.483 -5.090 4.477
Se -1.085 1.069 3.199
Ho -0.467 -2.014 7.072
CELL_PARAMETERS angstrom
-3.892 0.590 1.091
-0.506 -7.865 2.449
4.670 4.112 6.791
```



Entry 9:
Ga2CuSn after structural relaxation. Source: the Alexandria database, functional GGA-PBE. Values from VASP.

Values from the calculation:
**VASP energy**: -3.474 eV/atom
**ΔH_f (0 K)**: 0.3 eV per formula unit
**Volume**: 20.368 Å³/atom
**Density**: 6.6 g/cm3
**Space-group type**: I-42d

Cell and atoms, written as Quantum ESPRESSO input:
```
&SYSTEM
  ibrav = 0, nat = 8, ntyp = 3
/
ATOMIC_SPECIES
Cu 63.55 Cu.upf
Ga 69.72 Ga.upf
Sn 118.71 Sn.upf
ATOMIC_POSITIONS angstrom
Cu -2.569 0.126 1.787
Cu -4.214 -4.230 2.474
Ga -3.254 -2.216 1.421
Ga -1.370 -1.525 3.174
Ga -5.295 -5.614 6.053
Ga -3.439 -5.860 4.156
Sn -2.465 -3.378 4.928
Sn 0.000 0.000 0.000
CELL_PARAMETERS angstrom
-0.820 0.978 4.241
-4.318 -0.726 -0.667
-1.541 -7.860 3.828
```



Entry 10:
DyY6Ho3 after structural relaxation. Source: the Alexandria database, functional GGA-PBE. Values from VASP.

Values from the calculation:
**VASP energy**: -5.567 eV/atom
**Energy above the most stable polymorph in this dataset**: 0.028 eV/atom
**ΔH_f (0 K)**: 1.4 eV per formula unit
**Volume**: 32.374 Å³/atom
**Density**: 6.1 g/cm3
**Space-group type**: Cmc2_1

Cell and atoms, written as Quantum ESPRESSO input:
```
&SYSTEM
  ibrav = 0, nat = 20, ntyp = 3
/
ATOMIC_SPECIES
Y 88.91 Y.upf
Ho 164.93 Ho.upf
Dy 162.50 Dy.upf
ATOMIC_POSITIONS angstrom
Y -0.941 -2.699 4.504
Y -2.987 -5.561 9.778
Ho -2.482 -10.054 3.887
Y -0.710 -7.740 2.161
Dy 1.271 -4.544 6.303
Ho 0.194 -9.728 -0.553
Dy -2.374 -7.298 -4.324
Ho -1.691 -6.591 -0.957
Y -1.895 -4.371 1.694
Y 0.639 -6.095 -3.289
Y -1.132 -7.293 -7.443
Y -1.772 -5.758 5.271
Y 2.121 -7.026 0.127
Ho 1.514 -4.940 2.826
Ho -2.179 -2.981 -1.487
Y -4.380 -4.939 -2.932
Y 0.936 -3.656 -0.339
Y 0.828 -7.725 5.200
Y -2.611 -9.965 -2.236
Ho -4.856 -3.308 2.953
CELL_PARAMETERS angstrom
-5.878 -1.972 0.695
1.206 -6.632 -8.611
2.404 -3.629 10.032
```



Entry 11:
CeSeS after structural relaxation. Source: the Alexandria database, functional GGA-PBE. Values from VASP.

Values from the calculation:
**VASP energy**: -6.003 eV/atom
**Energy above the most stable polymorph in this dataset**: 0.229 eV/atom
**Volume**: 21.571 Å³/atom
**Density**: 6.4 g/cm3
**Space-group type**: I4mm

Cell and atoms, written as Quantum ESPRESSO input:
```
&SYSTEM
  ibrav = 0, nat = 3, ntyp = 3
/
ATOMIC_SPECIES
Se 78.96 Se.upf
S 32.06 S.upf
Ce 140.12 Ce.upf
ATOMIC_POSITIONS angstrom
Se -0.054 -0.019 0.096
S -1.401 -0.485 2.491
Ce -0.447 -2.877 1.042
CELL_PARAMETERS angstrom
-1.976 -2.731 -1.643
2.621 -2.492 0.990
-2.548 1.842 4.282
```



Entry 12:
La2CeNd after structural relaxation. Source: the Alexandria database, functional GGA-PBE. Values from VASP.

Values from the calculation:
**VASP energy**: -5.064 eV/atom
**Energy above the most stable polymorph in this dataset**: 0.027 eV/atom
**ΔH_f (0 K)**: 0.3 eV per formula unit
**Volume**: 34.266 Å³/atom
**Density**: 6.8 g/cm3
**Space-group type**: P4/mmm

Cell and atoms, written as Quantum ESPRESSO input:
```
&SYSTEM
  ibrav = 0, nat = 4, ntyp = 3
/
ATOMIC_SPECIES
Nd 144.24 Nd.upf
La 138.91 La.upf
Ce 140.12 Ce.upf
ATOMIC_POSITIONS angstrom
Nd 2.567 0.000 0.000
La 0.000 2.583 0.000
La 0.000 0.000 2.583
Ce 2.567 2.583 2.583
CELL_PARAMETERS angstrom
5.134 0.000 0.000
0.000 5.167 0.000
0.000 0.000 5.167
```